<w>
# Cd8Hg3

An optimized crystal structure of Cd8Hg3 (PBE, the Alexandria database).

Geometry as CIF:
```
data_Cd8Hg3
_chemical_formula_sum 'Cd24 Hg9'
_cell_length_a 10.3536
_cell_length_b 10.3536
_cell_length_c 9.6629
_cell_angle_alpha 90.00
_cell_angle_beta 90.00
_cell_angle_gamma 120.00
_symmetry_space_group_name_H-M 'R -3'
_symmetry_Int_Tables_number 148
_symmetry_space_group_name_Hall '-R 3'
loop_
_atom_site_label
_atom_site_type_symbol
_atom_site_fract_x
_atom_site_fract_y
_atom_site_fract_z
Cd1 Cd 0.0000 0.0000 0.1536
Cd2 Cd 0.0261 0.2297 0.4053
Hg1 Hg 0.0000 0.5000 0.5000
```

---

<x>
# Cd8Hg3

An optimized crystal structure of Cd8Hg3 (PBE, the Alexandria database).

Geometry as CIF:
```
data_Cd8Hg3
_chemical_formula_sum 'Cd16 Hg6'
_cell_length_a 9.610
_cell_length_b 4.188
_cell_length_c 12.921
_cell_angle_alpha 90.00
_cell_angle_beta 93.23
_cell_angle_gamma 90.00
_symmetry_space_group_name_H-M 'C 1 2/m 1'
_symmetry_Int_Tables_number 12
loop_
_symmetry_equiv_pos_as_xyz
'x,y,z'
'-x,-y,-z'
'-x,y,-z'
'x,-y,z'
'x+1/2,y+1/2,z'
'-x+1/2,-y+1/2,-z'
'-x+1/2,y+1/2,-z'
'x+1/2,-y+1/2,z'
loop_
_atom_site_label
_atom_site_type_symbol
_atom_site_fract_x
_atom_site_fract_y
_atom_site_fract_z
Cd1 Cd 0.047 0.000 0.319
Cd2 Cd 0.135 0.000 0.953
Cd3 Cd 0.180 0.500 0.770
Cd4 Cd 0.227 0.000 0.592
Hg1 Hg 0.000 0.500 0.500
Hg2 Hg 0.092 0.500 0.136
```

---

What should be chosen as the most stable of them? Choose <x>.

---

<w>
# HoCd3Hg6

An optimized crystal structure of HoCd3Hg6 (PBE, the Alexandria database).

Geometry as CIF:
```
data_HoCd3Hg6
_chemical_formula_sum 'Ho2 Cd6 Hg12'
_cell_length_a 10.837
_cell_length_b 4.845
_cell_length_c 11.174
_cell_angle_alpha 90.00
_cell_angle_beta 117.80
_cell_angle_gamma 90.00
_symmetry_space_group_name_H-M 'P 1 21/m 1'
_symmetry_Int_Tables_number 11
loop_
_symmetry_equiv_pos_as_xyz
'x,y,z'
'-x,-y,-z'
'-x,y+1/2,-z'
'x,-y+1/2,z'
loop_
_atom_site_label
_atom_site_type_symbol
_atom_site_fract_x
_atom_site_fract_y
_atom_site_fract_z
Ho1 Ho 0.158 0.250 0.000
Cd1 Cd 0.001 0.750 0.356
Cd2 Cd 0.347 0.250 0.345
Cd3 Cd 0.487 0.750 0.809
Hg1 Hg 0.006 0.750 0.814
Hg2 Hg 0.175 0.250 0.509
Hg3 Hg 0.181 0.750 0.188
Hg4 Hg 0.314 0.250 0.816
Hg5 Hg 0.346 0.750 0.509
Hg6 Hg 0.355 0.750 0.016
```

---

<x>
# HoCd3Hg6

An optimized crystal structure of HoCd3Hg6 (PBE, the Alexandria database).

Geometry as CIF:
```
data_HoCd3Hg6
_chemical_formula_sum 'Ho6 Cd18 Hg36'
_cell_length_a 13.3242
_cell_length_b 13.3242
_cell_length_c 10.0767
_cell_angle_alpha 90.00
_cell_angle_beta 90.00
_cell_angle_gamma 120.00
_symmetry_space_group_name_H-M 'R -3 c'
_symmetry_Int_Tables_number 167
_symmetry_space_group_name_Hall '-R 3 2"c'
loop_
_atom_site_label
_atom_site_type_symbol
_atom_site_fract_x
_atom_site_fract_y
_atom_site_fract_z
Ho1 Ho 0.0000 0.0000 0.0000
Cd1 Cd 0.0000 0.1556 0.2500
Hg1 Hg 0.0383 0.2460 0.9376
```

---

What should be chosen as the most stable of them? Choose <x>.

---

<w>
# HoCd2Hg

An optimized crystal structure of HoCd2Hg (PBE, the Alexandria database).

Geometry as CIF:
```
data_HoCd2Hg
_chemical_formula_sum 'Ho1 Cd2 Hg1'
_cell_length_a 4.435
_cell_length_b 4.435
_cell_length_c 4.865
_cell_angle_alpha 90.00
_cell_angle_beta 90.00
_cell_angle_gamma 90.00
_symmetry_space_group_name_H-M 'P 4/m m m'
_symmetry_Int_Tables_number 123
_symmetry_space_group_name_Hall '-P 4 2'
loop_
_atom_site_label
_atom_site_type_symbol
_atom_site_fract_x
_atom_site_fract_y
_atom_site_fract_z
Ho1 Ho 0.000 0.000 0.000
Cd1 Cd 0.000 0.500 0.500
Hg1 Hg 0.500 0.500 0.000
```

---

<x>
# HoCd2Hg

An optimized crystal structure of HoCd2Hg (PBE, the Alexandria database).

Geometry as CIF:
```
data_HoCd2Hg
_chemical_formula_sum 'Ho4 Cd8 Hg4'
_cell_length_a 3.431
_cell_length_b 22.386
_cell_length_c 4.954
_cell_angle_alpha 90.00
_cell_angle_beta 90.00
_cell_angle_gamma 90.00
_symmetry_space_group_name_H-M 'C m c m'
_symmetry_Int_Tables_number 63
_symmetry_space_group_name_Hall '-C 2c 2'
loop_
_atom_site_label
_atom_site_type_symbol
_atom_site_fract_x
_atom_site_fract_y
_atom_site_fract_z
Ho1 Ho 0.000 0.100 0.250
Cd1 Cd 0.000 0.272 0.750
Cd2 Cd 0.000 0.471 0.250
Hg1 Hg 0.000 0.344 0.250
```

---

What should be chosen as the most stable of them? Choose <w>.

---

<w>
# HoCd2Hg3

An optimized crystal structure of HoCd2Hg3 (PBE, the Alexandria database).

Geometry as CIF:
```
data_HoCd2Hg3
_chemical_formula_sum 'Ho2 Cd4 Hg6'
_cell_length_a 5.1118
_cell_length_b 5.1118
_cell_length_c 12.4672
_cell_angle_alpha 90.00
_cell_angle_beta 90.00
_cell_angle_gamma 120.00
_symmetry_space_group_name_H-M 'P -3 m 1'
_symmetry_Int_Tables_number 164
_symmetry_space_group_name_Hall '-P 3 2"'
loop_
_atom_site_label
_atom_site_type_symbol
_atom_site_fract_x
_atom_site_fract_y
_atom_site_fract_z
Ho1 Ho 0.3333 0.6667 0.1618
Cd1 Cd 0.0000 0.0000 0.0000
Cd2 Cd 0.0000 0.0000 0.5000
Cd3 Cd 0.3333 0.6667 0.6681
Hg1 Hg 0.0000 0.0000 0.2523
Hg2 Hg 0.3333 0.6667 0.4146
Hg3 Hg 0.3333 0.6667 0.9145
```

---

<x>
# HoCd2Hg3

An optimized crystal structure of HoCd2Hg3 (PBE, the Alexandria database).

Geometry as CIF:
```
data_HoCd2Hg3
_chemical_formula_sum 'Ho2 Cd4 Hg6'
_cell_length_a 4.729
_cell_length_b 13.795
_cell_length_c 4.391
_cell_angle_alpha 90.00
_cell_angle_beta 90.00
_cell_angle_gamma 90.00
_symmetry_space_group_name_H-M 'C m m m'
_symmetry_Int_Tables_number 65
_symmetry_space_group_name_Hall '-C 2 2'
loop_
_atom_site_label
_atom_site_type_symbol
_atom_site_fract_x
_atom_site_fract_y
_atom_site_fract_z
Ho1 Ho 0.000 0.000 0.000
Cd1 Cd 0.000 0.327 0.000
Hg1 Hg 0.000 0.164 0.500
Hg2 Hg 0.000 0.500 0.500
```

---

What should be chosen as the most stable of them? Choose <w>.

---

<w>
# Ho4CdHg3

An optimized crystal structure of Ho4CdHg3 (PBE, the Alexandria database).

Geometry as CIF:
```
data_Ho4CdHg3
_chemical_formula_sum 'Ho4 Cd1 Hg3'
_cell_length_a 5.226
_cell_length_b 5.226
_cell_length_c 7.476
_cell_angle_alpha 90.00
_cell_angle_beta 90.00
_cell_angle_gamma 90.00
_symmetry_space_group_name_H-M 'P 4/m m m'
_symmetry_Int_Tables_number 123
_symmetry_space_group_name_Hall '-P 4 2'
loop_
_atom_site_label
_atom_site_type_symbol
_atom_site_fract_x
_atom_site_fract_y
_atom_site_fract_z
Ho1 Ho 0.000 0.500 0.249
Cd1 Cd 0.000 0.000 0.500
Hg1 Hg 0.000 0.000 0.000
Hg2 Hg 0.500 0.500 0.000
Hg3 Hg 0.500 0.500 0.500
```

---

<x>
# Ho4CdHg3

An optimized crystal structure of Ho4CdHg3 (PBE, the Alexandria database).

Geometry as CIF:
```
data_Ho4CdHg3
_chemical_formula_sum 'Ho4 Cd1 Hg3'
_cell_length_a 3.767
_cell_length_b 4.807
_cell_length_c 11.592
_cell_angle_alpha 90.00
_cell_angle_beta 90.00
_cell_angle_gamma 90.00
_symmetry_space_group_name_H-M 'P m m 2'
_symmetry_Int_Tables_number 25
loop_
_symmetry_equiv_pos_as_xyz
'x,y,z'
'-x,-y,z'
'-x,y,z'
'x,-y,z'
loop_
_atom_site_label
_atom_site_type_symbol
_atom_site_fract_x
_atom_site_fract_y
_atom_site_fract_z
Ho1 Ho 0.000 0.000 0.000
Ho2 Ho 0.000 0.500 0.297
Ho3 Ho 0.500 0.000 0.496
Ho4 Ho 0.500 0.500 0.800
Cd1 Cd 0.000 0.000 0.727
Hg1 Hg 0.000 0.500 0.565
Hg2 Hg 0.500 0.000 0.232
Hg3 Hg 0.500 0.500 0.064
```

---

What should be chosen as the most stable of them? Choose <w>.

---

<w>
# HoCdHg2

An optimized crystal structure of HoCdHg2 (PBE, the Alexandria database).

Geometry as CIF:
```
data_HoCdHg2
_chemical_formula_sum 'Ho4 Cd4 Hg8'
_cell_length_a 7.196
_cell_length_b 7.196
_cell_length_c 7.196
_cell_angle_alpha 90.00
_cell_angle_beta 90.00
_cell_angle_gamma 90.00
_symmetry_space_group_name_H-M 'F m -3 m'
_symmetry_Int_Tables_number 225
_symmetry_space_group_name_Hall '-F 4 2 3'
loop_
_atom_site_label
_atom_site_type_symbol
_atom_site_fract_x
_atom_site_fract_y
_atom_site_fract_z
Ho1 Ho 0.000 0.000 0.000
Cd1 Cd 0.000 0.000 0.500
Hg1 Hg 0.250 0.250 0.250
```

---

<x>
# HoCdHg2

An optimized crystal structure of HoCdHg2 (PBE, the Alexandria database).

Geometry as CIF:
```
data_HoCdHg2
_chemical_formula_sum 'Ho3 Cd3 Hg6'
_cell_length_a 3.7594
_cell_length_b 3.7594
_cell_length_c 25.7499
_cell_angle_alpha 90.00
_cell_angle_beta 90.00
_cell_angle_gamma 120.00
_symmetry_space_group_name_H-M 'R 3 m'
_symmetry_Int_Tables_number 160
_symmetry_space_group_name_Hall 'R 3 -2"'
loop_
_atom_site_label
_atom_site_type_symbol
_atom_site_fract_x
_atom_site_fract_y
_atom_site_fract_z
Ho1 Ho 0.0000 0.0000 0.0000
Cd1 Cd 0.0000 0.0000 0.8331
Hg1 Hg 0.0000 0.0000 0.4182
Hg2 Hg 0.0000 0.0000 0.5818
```

---

<y>
# HoCdHg2

An optimized crystal structure of HoCdHg2 (PBE, the Alexandria database).

Geometry as CIF:
```
data_HoCdHg2
_chemical_formula_sum 'Ho1 Cd1 Hg2'
_cell_length_a 3.673
_cell_length_b 3.673
_cell_length_c 7.137
_cell_angle_alpha 90.00
_cell_angle_beta 90.00
_cell_angle_gamma 90.00
_symmetry_space_group_name_H-M 'P 4/m m m'
_symmetry_Int_Tables_number 123
_symmetry_space_group_name_Hall '-P 4 2'
loop_
_atom_site_label
_atom_site_type_symbol
_atom_site_fract_x
_atom_site_fract_y
_atom_site_fract_z
Ho1 Ho 0.000 0.000 0.000
Cd1 Cd 0.000 0.000 0.500
Hg1 Hg 0.500 0.500 0.254
```

---

What should be chosen as the most stable of them? Choose <w>.

---

<w>
# Ho2CdHg8

An optimized crystal structure of Ho2CdHg8 (PBE, the Alexandria database).

Geometry as CIF:
```
data_Ho2CdHg8
_chemical_formula_sum 'Ho2 Cd1 Hg8'
_cell_length_a 4.604
_cell_length_b 4.604
_cell_length_c 12.960
_cell_angle_alpha 90.00
_cell_angle_beta 90.00
_cell_angle_gamma 90.00
_symmetry_space_group_name_H-M 'P 4/m m m'
_symmetry_Int_Tables_number 123
_symmetry_space_group_name_Hall '-P 4 2'
loop_
_atom_site_label
_atom_site_type_symbol
_atom_site_fract_x
_atom_site_fract_y
_atom_site_fract_z
Ho1 Ho 0.000 0.000 0.183
Cd1 Cd 0.000 0.000 0.500
Hg1 Hg 0.000 0.500 0.000
Hg2 Hg 0.000 0.500 0.355
Hg3 Hg 0.500 0.500 0.176
```

---

<x>
# Ho2CdHg8

An optimized crystal structure of Ho2CdHg8 (PBE, the Alexandria database).

Geometry as CIF:
```
data_Ho2CdHg8
_chemical_formula_sum 'Ho4 Cd2 Hg16'
_cell_length_a 17.344
_cell_length_b 4.786
_cell_length_c 6.866
_cell_angle_alpha 90.00
_cell_angle_beta 108.32
_cell_angle_gamma 90.00
_symmetry_space_group_name_H-M 'C 1 2/m 1'
_symmetry_Int_Tables_number 12
loop_
_symmetry_equiv_pos_as_xyz
'x,y,z'
'-x,-y,-z'
'-x,y,-z'
'x,-y,z'
'x+1/2,y+1/2,z'
'-x+1/2,-y+1/2,-z'
'-x+1/2,y+1/2,-z'
'x+1/2,-y+1/2,z'
loop_
_atom_site_label
_atom_site_type_symbol
_atom_site_fract_x
_atom_site_fract_y
_atom_site_fract_z
Ho1 Ho 0.212 0.000 0.179
Cd1 Cd 0.000 0.500 0.500
Hg1 Hg 0.027 0.000 0.227
Hg2 Hg 0.109 0.500 0.922
Hg3 Hg 0.153 0.500 0.390
Hg4 Hg 0.165 0.000 0.693
```

---

What should be chosen as the most stable of them? Choose <w>.

---

<w>
# HoCd2Hg5

An optimized crystal structure of HoCd2Hg5 (PBE, the Alexandria database).

Geometry as CIF:
```
data_HoCd2Hg5
_chemical_formula_sum 'Ho4 Cd8 Hg20'
_cell_length_a 7.873
_cell_length_b 7.873
_cell_length_c 12.791
_cell_angle_alpha 90.00
_cell_angle_beta 90.00
_cell_angle_gamma 90.00
_symmetry_space_group_name_H-M 'I 4/m c m'
_symmetry_Int_Tables_number 140
_symmetry_space_group_name_Hall '-I 4 2c'
loop_
_atom_site_label
_atom_site_type_symbol
_atom_site_fract_x
_atom_site_fract_y
_atom_site_fract_z
Ho1 Ho 0.000 0.000 0.250
Cd1 Cd 0.144 0.356 0.000
Hg1 Hg 0.000 0.000 0.000
Hg2 Hg 0.152 0.348 0.340
```

---

<x>
# HoCd2Hg5

An optimized crystal structure of HoCd2Hg5 (PBE, the Alexandria database).

Geometry as CIF:
```
data_HoCd2Hg5
_chemical_formula_sum 'Ho2 Cd4 Hg10'
_cell_length_a 7.405
_cell_length_b 7.405
_cell_length_c 7.120
_cell_angle_alpha 90.00
_cell_angle_beta 90.00
_cell_angle_gamma 90.00
_symmetry_space_group_name_H-M 'I 4 m m'
_symmetry_Int_Tables_number 107
_symmetry_space_group_name_Hall 'I 4 -2'
loop_
_atom_site_label
_atom_site_type_symbol
_atom_site_fract_x
_atom_site_fract_y
_atom_site_fract_z
Ho1 Ho 0.000 0.000 0.000
Cd1 Cd 0.000 0.500 0.001
Hg1 Hg 0.000 0.000 0.501
Hg2 Hg 0.250 0.250 0.250
```

---

What should be chosen as the most stable of them? Choose <x>.

---

<w>
# Ho3Cd2Hg3

An optimized crystal structure of Ho3Cd2Hg3 (PBE, the Alexandria database).

Geometry as CIF:
```
data_Ho3Cd2Hg3
_chemical_formula_sum 'Ho3 Cd2 Hg3'
_cell_length_a 7.9007
_cell_length_b 7.9007
_cell_length_c 3.7770
_cell_angle_alpha 90.00
_cell_angle_beta 90.00
_cell_angle_gamma 120.00
_symmetry_space_group_name_H-M 'P -6 2 m'
_symmetry_Int_Tables_number 189
_symmetry_space_group_name_Hall 'P -6 -2'
loop_
_atom_site_label
_atom_site_type_symbol
_atom_site_fract_x
_atom_site_fract_y
_atom_site_fract_z
Ho1 Ho 0.0000 0.3666 0.0000
Cd1 Cd 0.3333 0.6667 0.5000
Hg1 Hg 0.0000 0.7472 0.5000
```

---

<x>
# Ho3Cd2Hg3

An optimized crystal structure of Ho3Cd2Hg3 (PBE, the Alexandria database).

Geometry as CIF:
```
data_Ho3Cd2Hg3
_chemical_formula_sum 'Ho6 Cd4 Hg6'
_cell_length_a 3.786
_cell_length_b 5.167
_cell_length_c 20.264
_cell_angle_alpha 90.00
_cell_angle_beta 90.00
_cell_angle_gamma 90.00
_symmetry_space_group_name_H-M 'I m m m'
_symmetry_Int_Tables_number 71
_symmetry_space_group_name_Hall '-I 2 2'
loop_
_atom_site_label
_atom_site_type_symbol
_atom_site_fract_x
_atom_site_fract_y
_atom_site_fract_z
Ho1 Ho 0.000 0.000 0.000
Ho2 Ho 0.000 0.500 0.131
Cd1 Cd 0.000 0.000 0.240
Hg1 Hg 0.000 0.000 0.500
Hg2 Hg 0.000 0.500 0.379
```

---

What should be chosen as the most stable of them? Choose <x>.

---

<w>
# HoCd12Hg7

An optimized crystal structure of HoCd12Hg7 (PBE, the Alexandria database).

Geometry as CIF:
```
data_HoCd12Hg7
_chemical_formula_sum 'Ho3 Cd36 Hg21'
_cell_length_a 12.0185
_cell_length_b 12.0185
_cell_length_c 11.4866
_cell_angle_alpha 90.00
_cell_angle_beta 90.00
_cell_angle_gamma 120.00
_symmetry_space_group_name_H-M 'R -3 m'
_symmetry_Int_Tables_number 166
_symmetry_space_group_name_Hall '-R 3 2"'
loop_
_atom_site_label
_atom_site_type_symbol
_atom_site_fract_x
_atom_site_fract_y
_atom_site_fract_z
Ho1 Ho 0.0000 0.0000 0.0000
Cd1 Cd 0.0000 0.2725 0.0000
Cd2 Cd 0.0439 0.5219 0.1250
Hg1 Hg 0.0000 0.0000 0.5000
Hg2 Hg 0.0876 0.1752 0.7735
```

---

<x>
# HoCd12Hg7

An optimized crystal structure of HoCd12Hg7 (PBE, the Alexandria database).

Geometry as CIF:
```
data_HoCd12Hg7
_chemical_formula_sum 'Ho3 Cd36 Hg21'
_cell_length_a 14.8073
_cell_length_b 14.8073
_cell_length_c 7.7974
_cell_angle_alpha 90.00
_cell_angle_beta 90.00
_cell_angle_gamma 120.00
_symmetry_space_group_name_H-M 'R -3'
_symmetry_Int_Tables_number 148
_symmetry_space_group_name_Hall '-R 3'
loop_
_atom_site_label
_atom_site_type_symbol
_atom_site_fract_x
_atom_site_fract_y
_atom_site_fract_z
Ho1 Ho 0.0000 0.0000 0.0000
Cd1 Cd 0.0284 0.7336 0.0788
Cd2 Cd 0.0944 0.8669 0.3983
Hg1 Hg 0.0000 0.0000 0.5000
Hg2 Hg 0.0763 0.8748 0.7893
```

---

What should be chosen as the most stable of them? Choose <w>.